# 1
A plane-wave DFT calculation with PBE-GGA was carried out for an optimized crystal structure of Zr2CuRu.

Summary:
Formation energy   -0.073 eV/atom
Total moment   0.00 μB per cell
Calculated volume   75.3 Å³ per cell
Calculated density   7.66 g/cm3
SG   No. 166

abc: 8.048 8.048 8.048
angles: 23.91 23.91 23.91
Atoms (fractional coordinates):
1 Zr 0.248 0.248 0.248
2 Zr 0.752 0.752 0.752
3 Cu 0.000 0.000 0.000
4 Ru 0.500 0.500 0.500

=====

# 2
A plane-wave DFT calculation with PBE-GGA was carried out for an optimized crystal structure of ZrCuRu3.

Summary:
Formation energy   1.805 eV/atom
Total moment   3.58 μB per cell
Calculated volume   109.7 Å³ per cell
Calculated density   6.94 g/cm3
SG   No. 221

abc: 4.786 4.786 4.786
angles: 90.00 90.00 90.00
Atoms (fractional coordinates):
1 Zr 0.000 0.000 0.000
2 Cu 0.500 0.500 0.500
3 Ru 0.000 0.000 0.500
4 Ru 0.000 0.500 0.000
5 Ru 0.500 0.000 0.000

=====

# 3
A plane-wave DFT calculation with PBE-GGA was carried out for an optimized crystal structure of ZrCuRu4.

Summary:
Formation energy   0.109 eV/atom
Total moment   0.54 μB per cell
Calculated volume   95.4 Å³ per cell
Calculated density   9.73 g/cm3
SG   No. 216

abc: 5.129 5.129 5.129
angles: 60.00 60.00 60.00
Atoms (fractional coordinates):
1 Zr 0.000 0.000 0.000
2 Cu 0.750 0.750 0.750
3 Ru 0.376 0.376 0.376
4 Ru 0.376 0.376 0.873
5 Ru 0.376 0.873 0.376
6 Ru 0.873 0.376 0.376

=====

# 4
A plane-wave DFT calculation with PBE-GGA was carried out for an optimized crystal structure of Zr3Cu2Ru.

Summary:
Formation energy   -0.301 eV/atom
Total moment   0.00 μB per cell
Calculated volume   106.0 Å³ per cell
Calculated density   7.86 g/cm3
SG   No. 164

abc: 4.635 4.635 5.697
angles: 90.00 90.00 120.00
Atoms (fractional coordinates):
1 Zr 0.000 0.000 0.000
2 Zr 0.333 0.667 0.662
3 Zr 0.667 0.333 0.338
4 Cu 0.333 0.667 0.152
5 Cu 0.667 0.333 0.848
6 Ru 0.000 0.000 0.500

=====

# 5
A plane-wave DFT calculation with PBE-GGA was carried out for an optimized crystal structure of Zr2CuRu.

Summary:
Formation energy   0.102 eV/atom
Total moment   0.00 μB per cell
Calculated volume   150.1 Å³ per cell
Calculated density   7.68 g/cm3
SG   No. 122

abc: 5.871 5.871 5.871
angles: 103.56 103.56 122.07
Atoms (fractional coordinates):
1 Zr 0.112 0.125 0.487
2 Zr 0.375 0.888 0.013
3 Zr 0.638 0.625 0.513
4 Zr 0.875 0.362 0.987
5 Cu 0.250 0.750 0.500
6 Cu 0.500 0.500 0.000
7 Ru 0.000 0.000 0.000
8 Ru 0.750 0.250 0.500

=====

# 6
A plane-wave DFT calculation with PBE-GGA was carried out for an optimized crystal structure of Zr2CuRu.

Summary:
Formation energy   0.158 eV/atom
Total moment   0.00 μB per cell
Calculated volume   75.6 Å³ per cell
Calculated density   7.62 g/cm3
SG   No. 160

abc: 8.611 8.611 8.611
angles: 21.57 21.57 21.57
Atoms (fractional coordinates):
1 Zr 0.000 0.000 0.000
2 Zr 0.229 0.229 0.229
3 Cu 0.479 0.479 0.479
4 Ru 0.739 0.739 0.739

=====

# 7
A plane-wave DFT calculation with PBE-GGA was carried out for an optimized crystal structure of Zr2CuRu.

Summary:
Formation energy   -0.363 eV/atom
Total moment   0.00 μB per cell
Calculated volume   70.6 Å³ per cell
Calculated density   8.16 g/cm3
SG   No. 123

abc: 4.667 4.667 3.243
angles: 90.00 90.00 90.00
Atoms (fractional coordinates):
1 Zr 0.000 0.500 0.000
2 Zr 0.500 0.000 0.000
3 Cu 0.000 0.000 0.500
4 Ru 0.500 0.500 0.500

=====

# 8
A plane-wave DFT calculation with PBE-GGA was carried out for an optimized crystal structure of Zr2CuRu.

Summary:
Formation energy   -0.080 eV/atom
Total moment   0.00 μB per cell
Calculated volume   68.0 Å³ per cell
Calculated density   8.47 g/cm3
SG   No. 216

abc: 4.582 4.582 4.582
angles: 60.00 60.00 60.00
Atoms (fractional coordinates):
1 Zr 0.000 0.000 0.000
2 Zr 0.250 0.250 0.250
3 Cu 0.750 0.750 0.750
4 Ru 0.500 0.500 0.500

=====

# 9
A plane-wave DFT calculation with PBE-GGA was carried out for an optimized crystal structure of Zr2CuRu.

Summary:
Formation energy   -0.336 eV/atom
Total moment   0.00 μB per cell
Calculated volume   72.0 Å³ per cell
Calculated density   8.01 g/cm3
SG   No. 6

abc: 3.254 4.441 5.059
angles: 90.00 100.17 90.00
Atoms (fractional coordinates):
1 Zr 0.000 0.000 0.000
2 Zr 0.171 0.500 0.558
3 Cu 0.533 0.500 0.101
4 Ru 0.636 0.000 0.460

=====

# 10
A plane-wave DFT calculation with PBE-GGA was carried out for an optimized crystal structure of Zr2CuRu.

Summary:
Formation energy   0.526 eV/atom
Total moment   0.01 μB per cell
Calculated volume   75.3 Å³ per cell
Calculated density   7.66 g/cm3
SG   No. 71

abc: 5.874 5.874 5.874
angles: 150.48 130.57 58.63
Atoms (fractional coordinates):
1 Zr 0.246 0.246 0.000
2 Zr 0.754 0.754 0.000
3 Cu 0.500 0.500 0.000
4 Ru 0.000 0.000 0.000

=====

# 11
A plane-wave DFT calculation with PBE-GGA was carried out for an optimized crystal structure of ZrCuRu.

Summary:
Formation energy   -0.219 eV/atom
Total moment   0.00 μB per cell
Calculated volume   48.3 Å³ per cell
Calculated density   8.79 g/cm3
SG   No. 107

abc: 4.911 4.911 4.911
angles: 140.09 140.09 57.71
Atoms (fractional coordinates):
1 Zr 0.000 0.000 0.000
2 Cu 0.323 0.323 0.000
3 Ru 0.665 0.665 0.000

=====

# 12
A plane-wave DFT calculation with PBE-GGA was carried out for an optimized crystal structure of ZrCuRu.

Summary:
Formation energy   0.463 eV/atom
Total moment   0.00 μB per cell
Calculated volume   57.4 Å³ per cell
Calculated density   7.40 g/cm3
SG   No. 216

abc: 4.330 4.330 4.330
angles: 60.00 60.00 60.00
Atoms (fractional coordinates):
1 Zr 0.000 0.000 0.000
2 Cu 0.250 0.250 0.250
3 Ru 0.750 0.750 0.750

=====

Please write out number 5 again, unchanged.
A plane-wave DFT calculation with PBE-GGA was carried out for an optimized crystal structure of Zr2CuRu.

Summary:
Formation energy   0.102 eV/atom
Total moment   0.00 μB per cell
Calculated volume   150.1 Å³ per cell
Calculated density   7.68 g/cm3
SG   No. 122

abc: 5.871 5.871 5.871
angles: 103.56 103.56 122.07
Atoms (fractional coordinates):
1 Zr 0.112 0.125 0.487
2 Zr 0.375 0.888 0.013
3 Zr 0.638 0.625 0.513
4 Zr 0.875 0.362 0.987
5 Cu 0.250 0.750 0.500
6 Cu 0.500 0.500 0.000
7 Ru 0.000 0.000 0.000
8 Ru 0.750 0.250 0.500

=====

> Which of these has the highest calculated volume?

number 5